Entry from Alexandria via LeMat-Bulk: a relaxed ReOs2W crystal (PBE).

Computed properties:
The value obtained for the mass density is 20.49 g cm⁻³. As for the volume: 15.20 Å³ per atom. The space-group type is No. 225. The value obtained for the magnetization is 0.0 μB/cell. The calculation puts the formation energy at 0.5326 eV per atom.

Cell: 6.242 6.242 6.242 Å, 90.00 90.00 90.00°
Fractional coordinates of all 16 atoms:
1 Re 0.000 0.000 0.000
2 Re 0.000 0.500 0.500
3 Re 0.500 0.000 0.500
4 Re 0.500 0.500 0.000
5 Os 0.250 0.250 0.250
6 Os 0.250 0.250 0.750
7 Os 0.250 0.750 0.250
8 Os 0.250 0.750 0.750
9 Os 0.750 0.250 0.250
10 Os 0.750 0.250 0.750
11 Os 0.750 0.750 0.250
12 Os 0.750 0.750 0.750
13 W 0.000 0.000 0.500
14 W 0.000 0.500 0.000
15 W 0.500 0.000 0.000
16 W 0.500 0.500 0.500